Record 1
Ac2AlGaCu6 | GGA-PBE | relaxed

a = 5.344 Å, b = 8.174 Å, c = 6.669 Å
α = 52.20°, β = 66.34°, γ = 90.03°
Positions (direct):
1 Ac 0.753 0.199 0.495
2 Ac 0.247 0.801 0.505
3 Al 0.000 0.000 0.000
4 Ga 0.500 0.500 0.000
5 Cu 0.249 0.403 0.502
6 Cu 0.716 0.717 0.067
7 Cu 0.217 0.717 0.068
8 Cu 0.783 0.283 0.932
9 Cu 0.284 0.283 0.933
10 Cu 0.751 0.597 0.498

Results
**Symmetry**: P-1, No. 2
**ΔH_f (0 K)**: -210 meV per atom

=====

Record 2
Rb8TiS6 | GGA-PBE | relaxed

a = 8.665 Å, b = 9.418 Å, c = 13.742 Å
α = 90.00°, β = 90.00°, γ = 90.00°
Positions (direct):
1 Rb 0.364 0.000 0.986
2 Rb 0.636 0.500 0.486
3 Rb 0.835 0.773 0.103
4 Rb 0.165 0.727 0.603
5 Rb 0.165 0.273 0.603
6 Rb 0.835 0.227 0.103
7 Rb 0.569 0.771 0.784
8 Rb 0.431 0.729 0.284
9 Rb 0.431 0.271 0.284
10 Rb 0.569 0.229 0.784
11 Rb 0.013 0.803 0.838
12 Rb 0.987 0.697 0.338
13 Rb 0.987 0.303 0.338
14 Rb 0.013 0.197 0.838
15 Rb 0.467 0.000 0.532
16 Rb 0.533 0.500 0.032
17 Ti 0.857 0.000 0.479
18 Ti 0.143 0.500 0.979
19 S 0.732 0.000 0.937
20 S 0.268 0.500 0.437
21 S 0.295 0.000 0.744
22 S 0.705 0.500 0.244
23 S 0.114 0.000 0.438
24 S 0.886 0.500 0.938
25 S 0.719 0.000 0.336
26 S 0.281 0.500 0.836
27 S 0.205 0.699 0.067
28 S 0.795 0.801 0.567
29 S 0.795 0.199 0.567
30 S 0.205 0.301 0.067

Results
**Symmetry**: Pmn2_1, No. 31
**Formation energy (no corrections)**: -1.15 eV/atom

=====

Record 3
VSnTeI2 | GGA-PBE | relaxed

a = 5.441 Å, b = 5.441 Å, c = 5.529 Å
α = 90.00°, β = 90.00°, γ = 90.00°
Each line ends with the local moment (μB).
Positions (direct):
1 I 0.000 0.500 0.000  -0.02
2 I 0.500 0.000 0.000  -0.02
3 Te 0.000 0.000 0.500  -0.12
4 Sn 0.500 0.500 0.500  0.21
5 V 0.000 0.000 0.000  2.33

Results
**Symmetry**: P4/mmm, No. 123
**E above lowest polymorph**: 0.000 eV per atom
**Formation energy (no corrections)**: 0.07 eV/atom

=====

Record 4
Li2Re | GGA-PBE | relaxed

a = 4.538 Å, b = 4.538 Å, c = 2.402 Å
α = 90.00°, β = 90.00°, γ = 120.00°
Positions (direct):
1 Li 0.333 0.667 0.500
2 Li 0.667 0.333 0.500
3 Re 0.000 0.000 0.000

Results
**Symmetry**: P6/mmm, No. 191
**E above lowest polymorph**: 0.341 eV per atom
**ΔH_f (0 K)**: 535 meV per atom

=====

Record 5
RbGa2CoSn | GGA-PBE | relaxed

a = 4.803 Å, b = 4.803 Å, c = 5.024 Å
α = 90.00°, β = 90.00°, γ = 90.00°
Positions (direct):
1 Ga 0.000 0.500 0.000
2 Ga 0.500 0.000 0.000
3 Co 0.000 0.000 0.000
4 Sn 0.000 0.000 0.500
5 Rb 0.500 0.500 0.500

Results
**Symmetry**: P4/mmm, No. 123
**ΔH_f (0 K)**: -5 meV per atom

=====

Record 6
Ag5PbCl8 | GGA-PBE | relaxed

a = 7.910 Å, b = 7.910 Å, c = 7.910 Å
α = 103.60°, β = 103.60°, γ = 121.98°
Positions (direct):
1 Ag 0.880 0.387 0.947
2 Ag 0.613 0.560 0.493
3 Ag 0.440 0.933 0.053
4 Ag 0.500 0.500 0.000
5 Ag 0.067 0.120 0.507
6 Pb 0.250 0.750 0.500
7 Cl 0.128 0.815 0.163
8 Cl 0.185 0.348 0.313
9 Cl 0.632 0.835 0.311
10 Cl 0.165 0.476 0.797
11 Cl 0.679 0.368 0.203
12 Cl 0.035 0.872 0.687
13 Cl 0.652 0.965 0.837
14 Cl 0.524 0.321 0.689

Results
**Symmetry**: I-4, No. 82
**Formation energy (no corrections)**: -0.54 eV/atom

=====

Record 7
LaPrPt | GGA-PBE | relaxed

a = 6.622 Å, b = 4.226 Å, c = 4.226 Å
α = 120.00°, β = 90.00°, γ = 90.00°
Positions (direct):
1 Pr 0.755 0.667 0.333
2 Pt 0.001 0.000 0.000
3 La 0.243 0.333 0.667

Results
**Symmetry**: P3m1, No. 156
**E above lowest polymorph**: 0.001 eV per atom
**ΔH_f (0 K)**: -712 meV per atom

=====

Record 8
MoAs2Se | GGA-PBE | relaxed

a = 3.281 Å, b = 3.283 Å, c = 6.557 Å
α = 90.00°, β = 90.00°, γ = 90.00°
Positions (direct):
1 Mo 0.500 0.500 0.250
2 As 0.000 0.000 0.038
3 As 0.000 0.000 0.462
4 Se 0.500 0.500 0.750

Results
**Symmetry**: P4/mmm, No. 123
**Formation energy (no corrections)**: 0.10 eV/atom